[1]
Material: CuPtSe2
Method: DFT, PBE-GGA
State: relaxed

Values from the calculation:
Space group ... No. 71

POSCAR file:
```
CuPtSe2
1.0
6.426 0.110 -0.008
4.018 5.017 0.008
-5.197 -2.615 2.733
Cu Se Pt
1 2 1
Direct
0.250 0.750 0.500 Cu
0.611 0.611 0.000 Se
0.889 0.889 0.000 Se
0.750 0.250 0.500 Pt
```



[2]
Material: TaTiSb2
Method: DFT, PBE-GGA
State: relaxed

Values from the calculation:
Space group ... No. 225
Offset from the most stable computed form ... 0 meV/atom

POSCAR file:
```
TaTiSb2
1.0
-1.988 -3.097 3.120
-0.234 1.115 4.688
-4.258 1.018 2.028
Ti Sb Ta
1 2 1
Direct
0.000 0.000 0.000 Ti
0.250 0.250 0.250 Sb
0.750 0.750 0.750 Sb
0.500 0.500 0.500 Ta
```



Short version: energy relative to the elements, uncorrected = -184; -54 meV per atom, in the order given.
Short version: N(E_F) = 3.33; 3.42 states/eV per cell, in the order given.
Short version: magnetization = 0.0; 0.0 μB per formula unit, in the order given.